1.
First-principles (PBE) data for Al3AgW after structural relaxation, as listed in the Alexandria database. Values from VASP.

Structure (Quantum ESPRESSO input):
```
&SYSTEM
  ibrav = 0, nat = 5, ntyp = 3
/
ATOMIC_SPECIES
Al 26.98 Al.upf
Ag 107.87 Ag.upf
W 183.84 W.upf
CELL_PARAMETERS angstrom
4.8753 0.0000 0.0000
0.0000 4.8753 0.0000
0.0000 0.0000 4.8753
ATOMIC_POSITIONS angstrom
Al 0.0000 0.0000 2.4376
Al 0.0000 2.4376 0.0000
Al 2.4376 0.0000 0.0000
Ag 2.4376 2.4376 2.4376
W 0.0000 0.0000 0.0000
```

Output
- SG = No. 221
- V (A^3/atom) = 23.2
- ΔH_f (0 K) (meV/atom) = 787

2.
First-principles (PBE) data for AlAg2W after structural relaxation, as listed in the Alexandria database. Values from VASP.

Structure (Quantum ESPRESSO input):
```
&SYSTEM
  ibrav = 0, nat = 12, ntyp = 3
/
ATOMIC_SPECIES
Al 26.98 Al.upf
Ag 107.87 Ag.upf
W 183.84 W.upf
CELL_PARAMETERS angstrom
2.8716 0.0000 0.0000
-1.4358 2.4868 0.0000
0.0000 0.0000 28.0038
ATOMIC_POSITIONS angstrom
Al 0.0000 0.0000 0.0000
Al 0.0000 1.6579 18.6692
Al 1.4358 0.8289 9.3346
Ag 0.0000 0.0000 7.0959
Ag 0.0000 0.0000 13.9599
Ag 0.0000 1.6579 4.6253
Ag 0.0000 1.6579 25.7651
Ag 1.4358 0.8289 16.4305
Ag 1.4358 0.8289 23.2946
W 0.0000 0.0000 20.8763
W 0.0000 1.6579 11.5416
W 1.4358 0.8289 2.2070
```

Output
- SG = No. 160
- V (A^3/atom) = 16.7
- ΔH_f (0 K) (meV/atom) = 195

3.
First-principles (PBE) data for AlAg2W after structural relaxation, as listed in the Alexandria database. Values from VASP.

Structure (Quantum ESPRESSO input):
```
&SYSTEM
  ibrav = 0, nat = 8, ntyp = 3
/
ATOMIC_SPECIES
Al 26.98 Al.upf
Ag 107.87 Ag.upf
W 183.84 W.upf
CELL_PARAMETERS angstrom
2.8126 0.0000 0.0000
0.0000 4.9516 0.0000
0.0000 0.0000 9.6168
ATOMIC_POSITIONS angstrom
Al 0.0000 0.0000 0.0000
Al 1.4063 2.4758 4.8084
Ag 0.0000 0.0000 4.7735
Ag 0.0000 2.4758 7.0717
Ag 1.4063 0.0000 2.2633
Ag 1.4063 2.4758 9.5820
W 0.0000 2.4758 2.5336
W 1.4063 0.0000 7.3420
```

Output
- SG = No. 44
- V (A^3/atom) = 16.7
- ΔH_f (0 K) (meV/atom) = 440

4.
First-principles (PBE) data for AlAg2W after structural relaxation, as listed in the Alexandria database. Values from VASP.

Structure (Quantum ESPRESSO input):
```
&SYSTEM
  ibrav = 0, nat = 4, ntyp = 3
/
ATOMIC_SPECIES
Al 26.98 Al.upf
Ag 107.87 Ag.upf
W 183.84 W.upf
CELL_PARAMETERS angstrom
4.9436 0.0000 0.0000
0.0000 2.7395 0.0000
-1.7645 0.0000 4.9323
ATOMIC_POSITIONS angstrom
Al 0.0000 0.0000 0.0000
Ag -0.8823 1.3697 2.4661
Ag 1.5895 0.0000 2.4661
W 2.4718 1.3697 0.0000
```

Output
- SG = No. 10
- V (A^3/atom) = 16.7
- ΔH_f (0 K) (meV/atom) = 301

5.
First-principles (PBE) data for AlAgW2 after structural relaxation, as listed in the Alexandria database. Values from VASP.

Structure (Quantum ESPRESSO input):
```
&SYSTEM
  ibrav = 0, nat = 4, ntyp = 3
/
ATOMIC_SPECIES
Al 26.98 Al.upf
Ag 107.87 Ag.upf
W 183.84 W.upf
CELL_PARAMETERS angstrom
2.7117 0.0000 0.0000
0.0000 4.2084 0.0000
0.0000 0.0000 5.7649
ATOMIC_POSITIONS angstrom
Al 0.0000 0.0000 0.0000
Ag 1.3559 2.1042 4.4358
W 0.0000 0.0000 2.7751
W 1.3559 2.1042 1.5220
```

Output
- SG = No. 25
- V (A^3/atom) = 16.4
- ΔH_f (0 K) (meV/atom) = 361

6.
First-principles (PBE) data for AlAg2W after structural relaxation, as listed in the Alexandria database. Values from VASP.

Structure (Quantum ESPRESSO input):
```
&SYSTEM
  ibrav = 0, nat = 12, ntyp = 3
/
ATOMIC_SPECIES
Al 26.98 Al.upf
Ag 107.87 Ag.upf
W 183.84 W.upf
CELL_PARAMETERS angstrom
2.8382 0.0000 0.0000
-1.4191 2.4580 0.0000
0.0000 0.0000 28.3359
ATOMIC_POSITIONS angstrom
Al 0.0000 0.0000 0.0000
Al 0.0000 1.6387 18.8906
Al 1.4191 0.8193 9.4453
Ag 0.0000 0.0000 7.1788
Ag 0.0000 0.0000 21.1571
Ag 0.0000 1.6387 11.7118
Ag 0.0000 1.6387 26.0694
Ag 1.4191 0.8193 2.2665
Ag 1.4191 0.8193 16.6241
W 0.0000 0.0000 14.1679
W 0.0000 1.6387 4.7227
W 1.4191 0.8193 23.6132
```

Output
- SG = No. 166
- V (A^3/atom) = 16.5
- ΔH_f (0 K) (meV/atom) = 346

Repeat the third record exactly.
First-principles (PBE) data for AlAg2W after structural relaxation, as listed in the Alexandria database. Values from VASP.

Structure (Quantum ESPRESSO input):
```
&SYSTEM
  ibrav = 0, nat = 8, ntyp = 3
/
ATOMIC_SPECIES
Al 26.98 Al.upf
Ag 107.87 Ag.upf
W 183.84 W.upf
CELL_PARAMETERS angstrom
2.8126 0.0000 0.0000
0.0000 4.9516 0.0000
0.0000 0.0000 9.6168
ATOMIC_POSITIONS angstrom
Al 0.0000 0.0000 0.0000
Al 1.4063 2.4758 4.8084
Ag 0.0000 0.0000 4.7735
Ag 0.0000 2.4758 7.0717
Ag 1.4063 0.0000 2.2633
Ag 1.4063 2.4758 9.5820
W 0.0000 2.4758 2.5336
W 1.4063 0.0000 7.3420
```

Output
- SG = No. 44
- V (A^3/atom) = 16.7
- ΔH_f (0 K) (meV/atom) = 440